[1]
Density functional theory data (PBE) for an optimized crystal structure of Pr6DyTm2.

* electronic total energy: -4.610 eV per atom
* total moment: 0.0 Bohr magnetons per cell
* energy above the most stable polymorph in this dataset: 0.00 eV/f.u.
* mass density: 7.27 g/cm³
* DFT formation energy: 82 meV/atom

Cell and atoms, written as extended XYZ:
```
18
Lattice="6.284 -0.142 -0.138 1.164 10.017 1.394 1.164 1.718 9.967" Properties=species:S:1:pos:R:3 pbc="T T T"
Pr 2.893 7.409 1.201
Pr 5.718 4.184 10.023
Pr 4.333 7.530 4.967
Pr 4.002 10.315 7.655
Pr 4.609 1.278 3.568
Pr 2.576 10.224 3.926
Pr 1.136 6.455 3.927
Pr 4.278 4.063 6.256
Pr 7.144 7.914 9.993
Pr 1.467 3.679 1.230
Pr 6.035 1.369 7.297
Pr 7.475 5.138 7.296
Tm 4.446 4.675 2.842
Tm 7.307 8.529 6.574
Tm 4.165 6.918 8.381
Tm 1.304 3.063 4.649
Dy 2.735 2.521 9.066
Dy 5.877 9.072 2.157
```

---

[2]
Density functional theory data (PBE) for an optimized crystal structure of PrDy4Tm7.

* electronic total energy: -4.260 eV per atom
* total moment: 0.0 Bohr magnetons per cell
* energy above the most stable polymorph in this dataset: 3.35 eV/f.u.
* mass density: 8.47 g/cm³
* DFT formation energy: 281 meV/atom

Cell and atoms, written as extended XYZ:
```
12
Lattice="5.811 0.000 0.000 2.905 11.060 -0.247 2.905 0.210 6.014" Properties=species:S:1:pos:R:3 pbc="T T T"
Tm 8.716 3.806 4.678
Tm 5.811 5.547 1.279
Tm 2.905 7.464 1.088
Tm 5.811 5.722 4.488
Tm 2.905 0.000 0.000
Tm 8.716 10.309 2.776
Tm 2.905 0.960 2.990
Dy 2.905 3.568 1.055
Dy 5.811 8.671 2.749
Dy 5.811 2.599 3.018
Dy 8.716 7.702 4.711
Pr 0.000 0.000 0.000
```

---

[3]
Density functional theory data (PBE) for an optimized crystal structure of PrDyTm2.

* electronic total energy: -4.556 eV per atom
* total moment: 0.0 Bohr magnetons per cell
* energy above the most stable polymorph in this dataset: 0.00 eV/f.u.
* mass density: 8.24 g/cm³
* DFT formation energy: 25 meV/atom

Cell and atoms, written as extended XYZ:
```
4
Lattice="0.865 3.522 -0.305 -0.022 2.427 6.276 5.499 0.855 3.783" Properties=species:S:1:pos:R:3 pbc="T T T"
Tm 2.726 3.532 5.103
Tm 5.034 0.983 3.966
Pr 2.030 1.574 2.238
Dy 5.221 4.970 7.105
```

---

[4]
Density functional theory data (PBE) for an optimized crystal structure of PrDy6Tm4.

* electronic total energy: -4.447 eV per atom
* total moment: 0.0 Bohr magnetons per cell
* energy above the most stable polymorph in this dataset: 0.00 eV/f.u.
* mass density: 8.53 g/cm³
* DFT formation energy: 123 meV/atom

Cell and atoms, written as extended XYZ:
```
22
Lattice="5.659 0.000 0.000 -2.830 4.816 0.000 0.000 0.000 25.604" Properties=species:S:1:pos:R:3 pbc="T T T"
Dy 0.000 4.659 6.401
Dy 2.830 3.052 2.574
Dy 0.000 1.764 23.030
Dy 2.830 0.000 12.802
Dy 0.000 1.436 8.193
Dy 2.830 0.000 0.000
Dy 2.830 3.052 10.228
Dy 0.000 1.764 15.376
Dy 2.830 0.158 19.203
Dy 2.830 3.381 17.412
Dy 2.830 3.381 20.995
Dy 0.000 1.436 4.609
Tm 2.830 0.195 22.495
Tm 0.000 4.622 9.692
Tm 0.000 4.622 3.110
Tm 2.830 0.195 15.912
Tm 0.000 1.543 11.728
Tm 0.000 1.543 1.075
Tm 2.830 3.274 24.530
Tm 2.830 3.274 13.877
Pr 2.830 3.061 6.401
Pr 0.000 1.755 19.203
```

---

[5]
Density functional theory data (PBE) for an optimized crystal structure of Pr2DyTm3.

* electronic total energy: -4.470 eV per atom
* total moment: 0.0 Bohr magnetons per cell
* mass density: 8.00 g/cm³
* DFT formation energy: 126 meV/atom

Cell and atoms, written as extended XYZ:
```
12
Lattice="-2.343 2.516 -0.591 -0.783 -3.011 -9.718 -6.719 -7.116 6.636" Properties=species:S:1:pos:R:3 pbc="T T T"
Tm -2.432 -0.759 -3.888
Tm -7.412 -6.851 0.216
Tm -5.048 -4.441 1.105
Tm -4.796 -3.170 -4.778
Tm -8.134 -4.493 2.823
Tm -1.710 -3.118 -6.496
Pr -8.653 -6.410 -3.283
Pr -4.452 -2.081 -1.506
Pr -5.392 -5.530 -2.167
Pr -1.191 -1.201 -0.390
Dy -4.196 -1.074 1.766
Dy -5.648 -6.536 -5.439
```

---

[6]
Density functional theory data (PBE) for an optimized crystal structure of Pr4DyTm6.

* electronic total energy: -4.120 eV per atom
* total moment: 0.0 Bohr magnetons per cell
* energy above the most stable polymorph in this dataset: 1.98 eV/f.u.
* mass density: 7.44 g/cm³
* DFT formation energy: 475 meV/atom

Cell and atoms, written as extended XYZ:
```
11
Lattice="-1.248 3.978 6.474 -4.308 -5.775 2.718 8.103 -1.809 -1.906" Properties=species:S:1:pos:R:3 pbc="T T T"
Tm 4.756 -1.296 -0.510
Tm -0.118 0.494 6.476
Tm -0.624 1.989 3.237
Tm -1.604 -4.240 4.653
Tm 2.059 -2.169 3.952
Tm -2.154 -2.887 1.359
Pr -0.157 -0.740 2.048
Pr 5.484 0.861 3.483
Pr 3.509 -5.433 1.059
Pr -3.743 -1.899 7.980
Dy -2.778 -0.898 4.596
```